Entry 1:
DFT (PBE) results for a geometry-optimized ScCo2Ni structure.

Cell: 2.7505 4.2615 4.5639 Å, 90.00 98.96 90.00°
Atoms (fractional coordinates):
Sc  0.0000  0.0000  0.0000
Co  0.3081  0.5000  0.7303
Co  0.6919  0.5000  0.2697
Ni  0.5000  0.0000  0.5000

Results
- total magnetization (μB per formula unit) = 2.6
- formation enthalpy at 0 K (eV per atom) = 0.023



Entry 2:
DFT (PBE) results for a geometry-optimized Sc6CoNi5 structure.

Cell: 7.0931 7.0931 6.2632 Å, 90.00 90.00 143.06°
Atoms (fractional coordinates):
Sc  0.0000  0.0000  0.2474
Sc  0.0000  0.0000  0.7526
Sc  0.3351  0.6649  0.2483
Sc  0.3351  0.6649  0.7517
Sc  0.6649  0.3351  0.2483
Sc  0.6649  0.3351  0.7517
Co  0.5000  0.5000  0.0000
Ni  0.1661  0.8339  0.0000
Ni  0.1679  0.8321  0.5000
Ni  0.5000  0.5000  0.5000
Ni  0.8321  0.1679  0.5000
Ni  0.8339  0.1661  0.0000

Results
- total magnetization (μB per formula unit) = 0.0
- formation enthalpy at 0 K (eV per atom) = -0.482



Entry 3:
DFT (PBE) results for a geometry-optimized ScCoNi structure.

Cell: 4.0917 4.0917 4.0917 Å, 60.00 60.00 60.00°
Atoms (fractional coordinates):
Sc  0.0000  0.0000  0.0000
Co  0.5000  0.5000  0.5000
Ni  0.2500  0.2500  0.2500

Results
- total magnetization (μB per formula unit) = 1.3
- formation enthalpy at 0 K (eV per atom) = 0.084



> Look up the total magnetization of the third one.

1.3 μB per formula unit